# 1
An optimized crystal structure of Si3Bi2Pd2, computed with GGA-PBE.

E_tot in eV for the cell shown: -34.04
SG: R3m, No. 160

Unit cell a=8.8763 b=8.8763 c=8.8763 alpha=28.93 beta=28.93 gamma=28.93
Atoms (fractional coordinates):
Si  0.3665  0.3665  0.3665
Si  0.9161  0.9161  0.9161
Si  0.6490  0.6490  0.6490
Pd  0.0077  0.0077  0.0077
Pd  0.4720  0.4720  0.4720
Bi  0.7652  0.7652  0.7652
Bi  0.1985  0.1985  0.1985

# 2
An optimized crystal structure of GdSnAuSe3, computed with GGA-PBE.

E_tot in eV for the cell shown: -110.57
SG: Pnma, No. 62

Unit cell a=10.7023 b=4.0907 c=13.6882 alpha=90.00 beta=90.00 gamma=90.00
Atoms (fractional coordinates):
Se  0.2349  0.7500  0.8461
Se  0.9270  0.2500  0.9022
Se  0.2651  0.2500  0.3461
Se  0.9626  0.7500  0.3931
Se  0.5730  0.7500  0.4022
Se  0.7651  0.2500  0.1539
Se  0.4626  0.7500  0.1069
Se  0.0730  0.7500  0.0978
Se  0.4270  0.2500  0.5978
Se  0.5374  0.2500  0.8931
Se  0.7349  0.7500  0.6539
Se  0.0374  0.2500  0.6069
Gd  0.0173  0.2500  0.2436
Gd  0.4827  0.7500  0.7436
Gd  0.9827  0.7500  0.7564
Gd  0.5173  0.2500  0.2564
Sn  0.2770  0.2500  0.0151
Sn  0.7230  0.7500  0.9849
Sn  0.2230  0.7500  0.5151
Sn  0.7770  0.2500  0.4849
Au  0.7592  0.7500  0.2824
Au  0.2408  0.2500  0.7176
Au  0.2592  0.7500  0.2176
Au  0.7408  0.2500  0.7824

# 3
An optimized crystal structure of Cs2NpAgCl6, computed with GGA-PBE.

E_tot in eV for the cell shown: -44.67
SG: I4/m, No. 87

Unit cell a=7.7400 b=7.7400 c=7.7400 alpha=121.13 beta=121.13 gamma=88.05
Site moments in Bohr magnetons follow the coordinates.
Atoms (fractional coordinates):
Ag  0.5000  0.5000  0.0000  -0.01
Cs  0.2500  0.7500  0.5000  0.00
Cs  0.7500  0.2500  0.5000  0.00
Cl  0.2445  0.2445  0.0000  -0.02
Cl  0.2082  0.2896  0.4978  -0.02
Cl  0.7918  0.7104  0.5022  -0.02
Cl  0.2896  0.7918  0.0813  -0.02
Cl  0.7104  0.2082  0.9187  -0.02
Cl  0.7555  0.7555  0.0000  -0.02
Np  0.0000  0.0000  0.0000  3.99

# 4
An optimized crystal structure of Tl2InAu, computed with GGA-PBE.

E_tot in eV for the cell shown: -10.51
SG: F-43m, No. 216

Unit cell a=5.2368 b=5.2368 c=5.2368 alpha=60.00 beta=60.00 gamma=60.00
Atoms (fractional coordinates):
Tl  0.2500  0.2500  0.2500
Tl  0.0000  0.0000  0.0000
Au  0.5000  0.5000  0.5000
In  0.7500  0.7500  0.7500

# 5
An optimized crystal structure of HfSnGe2, computed with GGA-PBE.

E_tot in eV for the cell shown: -22.18
SG: F-43m, No. 216

Unit cell a=4.9572 b=4.9572 c=4.9572 alpha=60.00 beta=60.00 gamma=60.00
Atoms (fractional coordinates):
Hf  0.2500  0.2500  0.2500
Sn  0.5000  0.5000  0.5000
Ge  0.0000  0.0000  0.0000
Ge  0.7500  0.7500  0.7500

# 6
An optimized crystal structure of HoTmTlCo2, computed with GGA-PBE.

E_tot in eV for the cell shown: -27.15
SG: Amm2, No. 38

Unit cell a=3.8088 b=7.2330 c=7.2330 alpha=30.45 beta=90.00 gamma=90.00
Site moments in Bohr magnetons follow the coordinates.
Atoms (fractional coordinates):
Co  0.5000  0.7939  0.7939  0.84
Co  0.5000  0.2064  0.2064  0.83
Tl  0.5000  0.9999  0.9999  -0.01
Tm  0.0000  0.3592  0.3592  -0.14
Ho  0.0000  0.6407  0.6407  -0.14

# 7
An optimized crystal structure of LiZrIrPb, computed with GGA-PBE.

E_tot in eV for the cell shown: -23.11
SG: F-43m, No. 216

Unit cell a=4.6744 b=4.6744 c=4.6744 alpha=60.00 beta=60.00 gamma=60.00
Atoms (fractional coordinates):
Pb  0.2500  0.2500  0.2500
Li  0.7500  0.7500  0.7500
Ir  0.5000  0.5000  0.5000
Zr  0.0000  0.0000  0.0000

# 8
An optimized crystal structure of InPd2Br5, computed with GGA-PBE.

E_tot in eV for the cell shown: -47.33
SG: I4/mcm, No. 140

Unit cell a=9.4894 b=9.4894 c=9.4894 alpha=135.10 beta=135.10 gamma=65.37
Atoms (fractional coordinates):
Br  0.5310  0.6610  0.5000
Br  0.0000  0.0000  0.0000
Br  0.0310  0.5310  0.8701
Br  0.6610  0.1610  0.1299
Br  0.4690  0.3390  0.5000
Br  0.9690  0.4690  0.1299
Br  0.5000  0.5000  0.0000
Br  0.8390  0.9690  0.5000
Br  0.3390  0.8390  0.8701
Br  0.1610  0.0310  0.5000
Pd  0.7977  0.2977  0.0954
Pd  0.2977  0.2023  0.5000
Pd  0.7023  0.7977  0.5000
Pd  0.2023  0.7023  0.9046
In  0.7500  0.7500  0.0000
In  0.2500  0.2500  0.0000

# 9
An optimized crystal structure of HfTlTe3Au, computed with GGA-PBE.

E_tot in eV for the cell shown: -56.34
SG: P2_1/m, No. 11

Unit cell a=8.6335 b=4.1330 c=10.7028 alpha=90.00 beta=110.97 gamma=90.00
Atoms (fractional coordinates):
Te  0.2249  0.2500  0.9451
Te  0.0515  0.2500  0.3783
Te  0.9485  0.7500  0.6217
Te  0.7751  0.7500  0.0549
Te  0.4255  0.7500  0.6355
Te  0.5745  0.2500  0.3645
Au  0.4196  0.7500  0.8897
Au  0.5804  0.2500  0.1103
Tl  0.2238  0.7500  0.2111
Tl  0.7762  0.2500  0.7889
Hf  0.2093  0.2500  0.6760
Hf  0.7907  0.7500  0.3240

# 10
An optimized crystal structure of YCu2As, computed with GGA-PBE.

E_tot in eV for the cell shown: -19.67
SG: F-43m, No. 216

Unit cell a=4.6199 b=4.6199 c=4.6199 alpha=60.00 beta=60.00 gamma=60.00
Atoms (fractional coordinates):
As  0.5000  0.5000  0.5000
Cu  0.7500  0.7500  0.7500
Cu  0.0000  0.0000  0.0000
Y  0.2500  0.2500  0.2500

# 11
An optimized crystal structure of Ni4SnAsC2, computed with GGA-PBE.

E_tot in eV for the cell shown: -46.32
SG: P-6m2, No. 187

Unit cell a=3.0551 b=3.0551 c=12.5993 alpha=90.00 beta=90.00 gamma=120.00
Atoms (fractional coordinates):
Ni  0.0000  0.0000  0.8060
Ni  0.3333  0.6667  0.3347
Ni  0.3333  0.6667  0.6653
Ni  0.0000  0.0000  0.1940
Sn  0.3333  0.6667  0.0000
C  0.6667  0.3333  0.7382
C  0.6667  0.3333  0.2618
As  0.0000  0.0000  0.5000

# 12
An optimized crystal structure of KLuGeS4, computed with GGA-PBE.

E_tot in eV for the cell shown: -70.69
SG: P2_1, No. 4

Unit cell a=6.4399 b=6.6343 c=8.6579 alpha=90.00 beta=107.23 gamma=90.00
Atoms (fractional coordinates):
S  0.5139  0.2536  0.3035
S  0.0638  0.0274  0.8310
S  0.9411  0.5988  0.5738
S  0.4720  0.7647  0.2852
S  0.0589  0.0988  0.4262
S  0.5280  0.2647  0.7148
S  0.9362  0.5274  0.1690
S  0.4861  0.7536  0.6965
Lu  0.7292  0.9888  0.5505
Lu  0.2708  0.4888  0.4495
K  0.7659  0.0084  0.0648
K  0.2341  0.5084  0.9352
Ge  0.7262  0.5252  0.3278
Ge  0.2738  0.0252  0.6722

Q: E_tot of number 1 (Si3Bi2Pd2)?
A: -34.04 eV for the cell shown